LiYGeAu2 | Alexandria | GGA-PBE | optimized geometry; formation energy = 21 kJ/mol of formula units; total energy = -19.328 eV for the cell shown; Fermi-level density of states = 4.62 states/eV per cell; M_tot = 0.0 μB per formula unit
1.0
4.942 0.000 0.000
0.000 5.358 0.000
0.000 0.000 4.942
Au Li Ge Y
2 1 1 1
Direct
0.500 0.000 0.000
0.000 0.000 0.500
0.500 0.500 0.500
0.000 0.000 0.000
0.000 0.500 0.000


ZrReRh2 | Alexandria | GGA-PBE | optimized geometry; formation energy = -48 kJ/mol of formula units; total energy = -36.196 eV for the cell shown; Fermi-level density of states = 5.28 states/eV per cell; excess energy over the best structure of this formula in the dataset = 217 meV per atom; M_tot = 0.0 μB per formula unit
1.0
3.389 0.000 0.000
0.000 3.389 0.000
0.000 0.000 5.691
Rh Zr Re
2 1 1
Direct
0.000 0.000 0.983
0.000 0.000 0.517
0.500 0.500 0.250
0.500 0.500 0.750


DyEr2AgN | Alexandria | GGA-PBE | optimized geometry; total energy = -28.718 eV for the cell shown; ΔE_f (raw) = -0.76 eV per atom; Fermi-level density of states = 6.41 states/eV per cell; M_tot = 0.0 μB per formula unit
1.0
-2.930 2.915 2.280
-1.803 -3.664 2.368
3.308 0.613 3.468
Er Dy N Ag
2 1 1 1
Direct
0.000 0.500 0.000
0.500 0.000 0.000
0.000 0.000 0.500
0.000 0.000 0.000
0.500 0.500 0.500


Zn2Te | Alexandria | GGA-PBE | optimized geometry; total energy = -15.734 eV for the cell shown; ΔE_f (raw) = 0.15 eV per atom; Fermi-level density of states = 4.14 states/eV per cell; excess energy over the best structure of this formula in the dataset = 269 meV per atom; M_tot = 0.0 μB per formula unit
1.0
-1.955 6.906 -2.631
-3.551 -2.907 6.114
2.855 1.759 2.494
Te Zn
3 6
Direct
0.333 0.667 0.000
0.667 0.333 0.000
0.000 0.000 0.500
0.000 0.557 0.500
0.000 0.263 0.000
0.737 0.737 0.000
0.557 0.000 0.500
0.443 0.443 0.500
0.263 0.000 0.000


Pr8AgIr3I4 | Alexandria | GGA-PBE | optimized geometry; total energy = -87.618 eV for the cell shown; ΔE_f (raw) = -0.86 eV per atom; Fermi-level density of states = 9.46 states/eV per cell; M_tot = 0.0 μB per formula unit
1.0
8.585 0.000 0.000
0.000 9.540 0.674
-4.292 -4.291 6.068
Ir Pr I Ag
3 8 4 1
Direct
0.500 0.500 0.500
0.500 0.500 0.000
0.000 0.500 0.500
0.711 0.688 0.950
0.761 0.312 0.522
0.729 0.686 0.458
0.761 0.312 0.050
0.239 0.688 0.950
0.289 0.312 0.050
0.271 0.314 0.542
0.239 0.688 0.478
0.500 0.000 0.500
0.000 0.000 0.500
0.000 0.000 0.000
0.500 0.000 0.000
0.000 0.500 0.000


KTaHg | Alexandria | GGA-PBE | optimized geometry; formation energy = 470 kJ/mol of formula units; total energy = -8.383 eV for the cell shown; Fermi-level density of states = 1.94 states/eV per cell; excess energy over the best structure of this formula in the dataset = 1335 meV per atom; M_tot = 0.0 μB per formula unit
1.0
0.000 3.542 3.542
3.542 0.000 3.542
3.542 3.542 0.000
Ta Hg K
1 1 1
Direct
0.750 0.750 0.750
0.000 0.000 0.000
0.250 0.250 0.250


PmPuRh2O8 | Alexandria | GGA-PBE | optimized geometry; total energy = -95.132 eV for the cell shown; ΔE_f (raw) = -1.81 eV per atom; Fermi-level density of states = 6.96 states/eV per cell; M_tot = 1.2 μB per formula unit
1.0
-3.386 2.760 -2.154
-3.521 -2.011 2.694
0.877 4.721 4.672
O Pm Pu Rh
8 1 1 2
Direct
0.330 0.331 0.500
0.795 0.204 0.775
0.205 0.796 0.775
0.320 0.320 0.000
0.670 0.669 0.500
0.205 0.796 0.225
0.680 0.680 0.000
0.795 0.204 0.225
0.000 0.000 0.500
0.000 0.000 0.000
0.500 0.500 0.753
0.500 0.500 0.247


PrNd2Dy2Ho | Alexandria | GGA-PBE | optimized geometry; formation energy = 36 kJ/mol of formula units; total energy = -55.452 eV for the cell shown; Fermi-level density of states = 17.79 states/eV per cell; M_tot = 0.0 μB per formula unit
1.0
5.693 0.000 0.000
0.000 9.906 0.000
0.000 0.000 7.066
Dy Ho Pr Nd
4 2 2 4
Direct
0.500 0.167 0.250
0.000 0.667 0.250
0.000 0.333 0.750
0.500 0.833 0.750
0.500 0.500 0.000
0.000 0.000 0.500
0.500 0.500 0.500
0.000 0.000 0.000
0.000 0.334 0.248
0.500 0.166 0.748
0.000 0.666 0.752
0.500 0.834 0.252


NbNi2Ir | Alexandria | GGA-PBE | optimized geometry; formation energy = -160 kJ/mol of formula units; total energy = -64.309 eV for the cell shown; Fermi-level density of states = 4.17 states/eV per cell; M_tot = 0.0 μB per formula unit
1.0
-3.335 0.186 -2.751
1.741 -4.455 -2.412
-3.416 -0.339 4.119
Ni Nb Ir
4 2 2
Direct
0.250 0.844 0.674
0.250 0.844 0.170
0.750 0.156 0.830
0.750 0.156 0.326
0.750 0.665 0.332
0.250 0.335 0.668
0.250 0.323 0.162
0.750 0.677 0.838


Sr3RhBr | Alexandria | GGA-PBE | optimized geometry; total energy = -35.278 eV for the cell shown; ΔE_f (raw) = -0.71 eV per atom; Fermi-level density of states = 5.68 states/eV per cell; excess energy over the best structure of this formula in the dataset = 0 meV per atom; M_tot = 0.0 μB per formula unit
1.0
-0.924 1.972 -3.715
-7.820 -5.586 -1.019
-1.782 7.830 4.599
Sr Rh Br
6 2 2
Direct
0.250 0.045 0.722
0.750 0.955 0.278
0.750 0.373 0.687
0.250 0.719 0.917
0.750 0.281 0.083
0.250 0.627 0.313
0.750 0.596 0.069
0.250 0.404 0.931
0.750 0.693 0.625
0.250 0.307 0.375